Record 1
SrLiRe | Alexandria via LeMat-Bulk | PBE-GGA | relaxed; total magnetization = 0.0 μB per formula unit; SG = No. 42; DFT formation energy = 0.917 eV per atom; energy relative to the lowest polymorph listed for this composition = 2.0 kJ per mole of atoms; V = 21.12 Å³/atom; energy = -13.3 eV per cell
1.0
7.9554 0.0560 -0.0517
7.4148 2.8707 0.1024
0.5406 -0.0730 2.8179
Sr Li Re
1 1 1
Direct
0.6826 0.6826 0.3174 Sr
0.9744 0.9744 0.0256 Li
0.3430 0.3430 0.6570 Re

***

Record 2
TaTl4Ir | Alexandria via LeMat-Bulk | PBE-GGA | relaxed; total magnetization = 0.0 μB per formula unit; SG = No. 216; DFT formation energy = 1.378 eV per atom; V = 24.23 Å³/atom; energy = -21.9 eV per cell
1.0
3.9782 -4.0329 1.6570
-1.3882 -3.9980 4.1140
-0.7287 -5.6587 -1.5112
Tl Ta Ir
4 1 1
Direct
0.8748 0.3751 0.3751 Tl
0.3751 0.3751 0.8748 Tl
0.3751 0.3751 0.3751 Tl
0.3751 0.8748 0.3751 Tl
0.0000 0.0000 0.0000 Ta
0.7500 0.7500 0.7500 Ir

***

Record 3
Ba2LaTi | Alexandria via LeMat-Bulk | PBE-GGA | relaxed; total magnetization = 2.7 μB per formula unit; SG = No. 225; DFT formation energy = 0.669 eV per atom; energy relative to the lowest polymorph listed for this composition = 0.0 kJ per mole of atoms; V = 39.23 Å³/atom; energy = -14.0 eV per cell
1.0
-4.0953 -4.2920 1.2085
-5.8628 1.0074 -1.1252
-2.7569 -2.9158 -4.5333
La Ti Ba
1 1 2
Direct
0.5000 0.5000 0.5000 La
0.0000 0.0000 0.0000 Ti
0.7500 0.7500 0.7500 Ba
0.2500 0.2500 0.2500 Ba

***

Record 4
PmSm2N2 | Alexandria via LeMat-Bulk | PBE-GGA | relaxed; total magnetization = 0.0 μB per formula unit; SG = No. 71; energy relative to the lowest polymorph listed for this composition = 0.0 kJ per mole of atoms; V = 20.25 Å³/atom; energy = -36.6 eV per cell
1.0
-1.3296 -0.1653 3.3278
0.3308 -5.1084 -0.1215
5.6055 2.9186 0.4509
Pm N Sm
1 2 2
Direct
0.0000 0.0000 0.0000 Pm
0.6707 0.1707 0.3414 N
0.3293 0.8293 0.6586 N
0.6812 0.6812 0.3624 Sm
0.3188 0.3188 0.6376 Sm

***

energy of number 4 (PmSm2N2)? -36.6 eV per cell